1.
Entry from Alexandria: a relaxed CrTeRu crystal (PBE).

```
6
Lattice="3.339 0.000 0.000 -1.669 2.892 0.000 0.000 0.000 10.982" Properties=species:S:1:pos:R:3 pbc="T T T"
Cr 0.000 2.577 5.491
Cr 0.000 2.564 0.000
Te 1.669 1.613 7.291
Te 1.669 1.613 3.691
Ru 0.000 0.636 9.584
Ru 0.000 0.636 1.398
```

uncorrected formation energy: 125 kJ/mol of formula units
E above lowest polymorph: 319 meV/atom
space group: Amm2, No. 38
crystal system: orthorhombic
total moment: 0.000 μB per atom

2.
Entry from Alexandria: a relaxed LiTbTmCd crystal (PBE).

```
4
Lattice="-1.554 -3.575 -3.498 1.395 -5.014 0.584 -3.586 -3.578 1.329" Properties=species:S:1:pos:R:3 pbc="T T T"
Cd -2.808 -9.125 -1.188
Tb -1.872 -6.083 -0.792
Tm 0.000 0.000 0.000
Li -0.936 -3.042 -0.396
```

ΔH_f (0 K): -0.11 eV per atom
space group: F-43m, No. 216
crystal system: cubic
total moment: 0.000 μB per atom

3.
Entry from Alexandria: a relaxed ZnCrCl2 crystal (PBE).

```
4
Lattice="-1.594 1.740 -2.782 -1.053 -5.548 -2.867 -3.361 -0.270 1.757" Properties=species:S:1:pos:R:3 pbc="T T T"
Cl -1.324 -1.904 -2.824
Cl 0.000 0.000 0.000
Cr -2.477 0.735 -0.513
Zn -2.207 -2.909 -0.555
```

uncorrected formation energy: -45 kJ/mol of formula units
E above lowest polymorph: 368 meV/atom
space group: Pmmm, No. 47
crystal system: orthorhombic
total moment: 1.186 μB per atom

4.
Entry from Alexandria: a relaxed Ba2GdI crystal (PBE).

```
4
Lattice="4.095 0.000 0.000 2.047 3.546 0.000 2.047 1.182 12.811" Properties=species:S:1:pos:R:3 pbc="T T T"
Ba 2.047 1.182 9.078
Ba 6.142 3.546 3.733
I 4.095 2.364 6.405
Gd 0.000 0.000 0.000
```

uncorrected formation energy: -99 kJ/mol of formula units
space group: R-3m, No. 166
crystal system: trigonal
total moment: 1.890 μB per atom

5.
Entry from Alexandria: a relaxed Pm2Sm5TmTh crystal (PBE).

```
18
Lattice="5.665 0.000 0.000 -2.832 10.274 0.000 0.000 0.000 10.560" Properties=species:S:1:pos:R:3 pbc="T T T"
Sm 2.832 2.371 5.537
Sm 2.832 4.211 2.166
Sm 0.000 9.908 7.857
Sm 2.832 4.622 8.600
Sm 0.000 0.294 0.185
Sm 0.000 5.652 3.320
Sm 2.832 9.980 5.465
Sm 2.832 0.366 2.577
Sm 0.000 7.903 0.257
Sm 0.000 6.063 7.446
Tm 0.000 8.322 4.855
Tm 2.832 1.952 10.135
Pm 0.000 2.357 3.305
Pm 0.000 2.349 7.746
Pm 2.832 7.917 8.585
Pm 2.832 7.926 2.466
Th 0.000 4.065 0.130
Th 2.832 6.209 5.409
```

ΔH_f (0 K): 0.15 eV per atom
space group: Cmc2_1, No. 36
crystal system: orthorhombic
total moment: 0.000 μB per atom

6.
Entry from Alexandria: a relaxed Cu2NiOs crystal (PBE).

```
4
Lattice="4.536 0.008 -0.022 3.821 2.444 -0.022 0.707 0.208 4.472" Properties=species:S:1:pos:R:3 pbc="T T T"
Os 2.266 0.665 1.107
Ni 6.798 1.995 3.321
Cu 4.526 1.328 2.236
Cu 0.713 0.209 4.450
```

ΔH_f (0 K): 0.20 eV per atom
E above lowest polymorph: 58 meV/atom
space group: C2/m, No. 12
crystal system: monoclinic
total moment: 0.063 μB per atom

7.
Entry from Alexandria: a relaxed In4Os crystal (PBE).

```
5
Lattice="5.220 0.000 0.000 0.000 5.220 0.000 0.000 0.000 5.220" Properties=species:S:1:pos:R:3 pbc="T T T"
In 2.610 2.610 0.000
In 0.000 2.610 2.610
In 2.610 0.000 2.610
In 0.000 0.000 0.000
Os 2.610 2.610 2.610
```

ΔH_f (0 K): 0.23 eV per atom
E above lowest polymorph: 81 meV/atom
space group: Pm-3m, No. 221
crystal system: cubic
total moment: 0.000 μB per atom

8.
Entry from Alexandria: a relaxed TcAg2Sb crystal (PBE).

```
4
Lattice="5.558 0.005 0.000 2.775 4.816 0.000 -4.166 -2.411 2.779" Properties=species:S:1:pos:R:3 pbc="T T T"
Ag 0.000 0.000 0.000
Ag 4.166 2.411 0.000
Sb 1.387 2.408 1.389
Tc 2.779 0.003 1.389
```

uncorrected formation energy: 165 kJ/mol of formula units
space group: I4/mmm, No. 139
crystal system: tetragonal
total moment: 0.445 μB per atom